# TbPmTlGa | Alexandria | PBE-GGA | relaxed
# Energy in hartree per atom: -0.1519
# ρ in g/cm3: 9.12
# Formation enthalpy at 0 K in eV/atom: -0.44
# Total magnetization in μB/cell: 0.0
# Energy above the most stable polymorph in this dataset in eV/atom: 0.0305
data_TbPmTlGa
_space_group_name_H-M_alt 'F -4 3 m'
_space_group_IT_number 216
_space_group_name_Hall 'F -4 2 3'
_cell_length_a 7.494
_cell_length_b 7.494
_cell_length_c 7.494
_cell_angle_alpha 90.00
_cell_angle_beta 90.00
_cell_angle_gamma 90.00
loop_
_atom_site_label
_atom_site_fract_x
_atom_site_fract_y
_atom_site_fract_z
_atom_site_occupancy
Tb1 0.000 0.000 0.000 1
Pm1 0.000 0.000 0.500 1
Tl1 0.250 0.250 0.750 1
Ga1 0.250 0.250 0.250 1